The following is a PBE-GGA calculation of a relaxed structure of TaCuPbAu, from OQMD via LeMat-Bulk.

Summary:
**M_tot**: 0.981 μB/cell
**Electronic total energy**: -5.055 eV per atom
**Space-group type**: F-43m, No. 216

Cell lengths 4.754, 4.754, 4.754 Å; angles 60.00, 60.00, 60.00 degrees
Element x y z (fractional)
Au 0.250 0.250 0.250
Cu 0.750 0.750 0.750
Pb 0.000 0.000 0.000
Ta 0.500 0.500 0.500

---

The following is a PBE-GGA calculation of a relaxed structure of Pr2Dy2BrNCl4, from OQMD via LeMat-Bulk.

Summary:
**M_tot**: 0.002 μB/cell
**Electronic total energy**: -5.420 eV per atom
**Space-group type**: C2/m, No. 12

Cell lengths 8.838, 8.838, 8.027 Å; angles 105.40, 105.40, 24.35 degrees
Element x y z (fractional)
Br 0.500 0.500 0.000
Cl 0.841 0.841 0.141
Cl 0.165 0.165 0.325
Cl 0.835 0.835 0.675
Cl 0.159 0.159 0.859
Dy 0.001 0.001 0.300
Dy 0.999 0.999 0.700
N 0.500 0.500 0.500
Pr 0.352 0.352 0.411
Pr 0.648 0.648 0.589

---

The following is a PBE-GGA calculation of a relaxed structure of ThZrGe2Pt2, from OQMD via LeMat-Bulk.

Summary:
**M_tot**: 0.012 μB/cell
**Electronic total energy**: -6.916 eV per atom
**Space-group type**: Pm, No. 6

Cell lengths 9.594, 4.343, 13.398 Å; angles 90.00, 110.38, 90.00 degrees
Element x y z (fractional)
Ge 0.442 0.000 0.009
Ge 0.017 0.000 0.032
Ge 0.830 0.500 0.189
Ge 0.402 0.500 0.279
Ge 0.303 0.000 0.503
Ge 0.721 0.000 0.531
Ge 0.084 0.500 0.756
Ge 0.683 0.500 0.772
Pt 0.532 0.500 0.125
Pt 0.110 0.500 0.139
Pt 0.905 0.000 0.318
Pt 0.457 0.000 0.386
Pt 0.344 0.500 0.615
Pt 0.815 0.500 0.633
Pt 0.181 0.000 0.869
Pt 0.753 0.000 0.874
Th 0.135 0.500 0.362
Th 0.732 0.500 0.380
Th 0.064 0.000 0.599
Th 0.413 0.500 0.845
Zr 0.737 0.000 0.069
Zr 0.310 0.000 0.153
Zr 0.562 0.000 0.656
Zr 0.968 0.500 0.906

---

The following is a PBE-GGA calculation of a relaxed structure of Ho5GeTe5, from OQMD via LeMat-Bulk.

Summary:
**M_tot**: 0.004 μB/cell
**Electronic total energy**: -5.251 eV per atom
**Space-group type**: C2/m, No. 12

Cell lengths 7.464, 7.464, 8.574 Å; angles 107.01, 107.01, 48.09 degrees
Element x y z (fractional)
Ge 0.000 0.000 0.000
Ho 0.500 0.500 0.000
Ho 0.843 0.843 0.160
Ho 0.156 0.156 0.317
Ho 0.844 0.844 0.683
Ho 0.157 0.157 0.840
Te 0.336 0.336 0.174
Te 0.672 0.672 0.336
Te 0.000 0.000 0.500
Te 0.328 0.328 0.664
Te 0.664 0.664 0.826

---

The following is a PBE-GGA calculation of a relaxed structure of HoCuBi, from OQMD via LeMat-Bulk.

Summary:
**M_tot**: 0.016 μB/cell
**Electronic total energy**: -4.511 eV per atom
**Space-group type**: Pnma, No. 62

Cell lengths 7.113, 4.491, 8.554 Å; angles 90.00, 90.00, 90.00 degrees
Element x y z (fractional)
Bi 0.715 0.750 0.084
Bi 0.215 0.750 0.416
Bi 0.785 0.250 0.584
Bi 0.285 0.250 0.916
Cu 0.309 0.750 0.097
Cu 0.809 0.750 0.403
Cu 0.191 0.250 0.597
Cu 0.691 0.250 0.903
Ho 0.003 0.250 0.204
Ho 0.503 0.250 0.296
Ho 0.497 0.750 0.704
Ho 0.997 0.750 0.796

---

The following is a PBE-GGA calculation of a relaxed structure of UBePd, from OQMD via LeMat-Bulk.

Summary:
**M_tot**: 2.475 μB/cell
**Electronic total energy**: -5.810 eV per atom
**Space-group type**: F-43m, No. 216

Cell lengths 4.523, 4.523, 4.523 Å; angles 60.00, 60.00, 60.00 degrees
Element x y z (fractional)
Be 0.250 0.250 0.250
Pd 0.750 0.750 0.750
U 0.000 0.000 0.000

---

The following is a PBE-GGA calculation of a relaxed structure of La2HoBi3, from OQMD via LeMat-Bulk.

Summary:
**M_tot**: 0.002 μB/cell
**Electronic total energy**: -5.419 eV per atom
**Space-group type**: P-3m1, No. 164

Cell lengths 4.599, 4.599, 11.288 Å; angles 90.00, 90.00, 120.00 degrees
Element x y z (fractional)
Bi 0.000 0.000 0.000
Bi 0.333 0.667 0.345
Bi 0.667 0.333 0.655
Ho 0.000 0.000 0.500
La 0.667 0.333 0.173
La 0.333 0.667 0.827

---

The following is a PBE-GGA calculation of a relaxed structure of PmTaFe, from OQMD via LeMat-Bulk.

Summary:
**M_tot**: 0.006 μB/cell
**Space-group type**: F-43m, No. 216
**E_form**: 0.569 eV/atom

Cell lengths 4.473, 4.473, 4.473 Å; angles 60.00, 60.00, 60.00 degrees
Element x y z (fractional)
Fe 0.000 0.000 0.000
Pm 0.250 0.250 0.250
Ta 0.750 0.750 0.750